Nb3ZnIr: optimized geometry, PBE.

Geometry as POSCAR:
```
Nb3ZnIr
1.0
4.622 0.000 0.000
0.000 4.622 0.000
0.000 0.000 4.622
Ir Nb Zn
1 3 1
Direct
0.500 0.500 0.500
0.500 0.000 0.000
0.000 0.000 0.500
0.000 0.500 0.000
0.000 0.000 0.000
```

Results
SG: Pm-3m
Total magnetization in Bohr magnetons per cell: 0.00
Energy relative to the elements in eV/atom: 1.30
Distance to the lowest polymorph of the same formula in meV per atom: 351